This record from Alexandria via LeMat-Bulk describes a relaxed structure of SrHo2BiO6. The functional is PBE.

The calculation puts the theoretical density at 7.60 Mg/m³. The formation energy (no corrections) is -2.65 eV/atom. As for the symmetry: R3, No. 146. The calculation puts the total magnetization at 1.03 μB per formula unit.

Geometry as POSCAR:
```
SrHo2BiO6
1.0
5.9521 0.0000 0.0003
2.9760 5.1545 0.0001
2.9760 1.7183 5.1454
Sr Ho Bi O
1 2 1 6
direct
0.7937 0.7937 0.6188
0.5234 0.5234 0.4298
0.0185 0.0185 0.9445
0.3127 0.3127 0.0618
0.6281 0.2343 0.2338
0.2343 0.9037 0.2338
0.9038 0.6281 0.2339
0.3685 0.7130 0.7529
0.7130 0.1655 0.7529
0.1655 0.3686 0.7529
```